Entry 1
DFT (meta-GGA SCAN) results for a crystal of Y5Al4 relaxed with PBEsol.

Lattice parameters (Å, degrees): 4.5549 7.1229 7.1229 84.13 71.35 71.35
Site moments in Bohr magnetons follow the coordinates.
Positions (direct):
Y (0.3267, 0.0000, 0.3467)  0.15
Y (0.6733, 0.0000, 0.6533)  0.15
Y (0.3267, 0.3467, 0.0000)  0.15
Y (0.6733, 0.6533, 0.0000)  0.15
Y (0.0000, 0.0000, 0.0000)  0.13
Al (0.0000, 0.6531, 0.3469)  0.00
Al (0.6531, 0.3469, 0.3469)  0.00
Al (0.3469, 0.6531, 0.6531)  0.00
Al (0.0000, 0.3469, 0.6531)  0.00

N(E_F)   0.90 states/eV per atom
Space group   No. 139

Entry 2
DFT (meta-GGA SCAN) results for a crystal of Y5Al4 relaxed with PBEsol.

Lattice parameters (Å, degrees): 6.3479 8.9210 8.9210 120.00 90.00 90.00
Positions (direct):
Al (0.5000, 0.0000, 0.0000)
Al (0.2500, 0.0000, 0.6323)
Al (0.7500, 0.3677, 0.0000)
Al (0.7500, 0.6323, 0.6323)
Al (0.0000, 0.0000, 0.0000)
Al (0.2500, 0.6323, 0.0000)
Al (0.7500, 0.0000, 0.3677)
Al (0.2500, 0.3677, 0.3677)
Y (0.2500, 0.0000, 0.2878)
Y (0.7500, 0.7122, 0.0000)
Y (0.0000, 0.3333, 0.6667)
Y (0.7500, 0.0000, 0.7122)
Y (0.2500, 0.7122, 0.7122)
Y (0.0000, 0.6667, 0.3333)
Y (0.2500, 0.2878, 0.0000)
Y (0.5000, 0.3333, 0.6667)
Y (0.7500, 0.2878, 0.2878)
Y (0.5000, 0.6667, 0.3333)

N(E_F)   0.75 states/eV per atom
Space group   No. 193

Name the most stable of them. entry 2.

Entry 1
DFT (meta-GGA SCAN) results for a crystal of Y2AlZn relaxed with PBEsol.

Lattice parameters (Å, degrees): 3.5133 3.5133 7.2062 90.00 90.00 90.00
Positions (direct):
Zn (0.5000, 0.5000, 0.0000)
Y (0.0000, 0.0000, 0.7565)
Y (0.0000, 0.0000, 0.2435)
Al (0.5000, 0.5000, 0.5000)

N(E_F)   0.56 states/eV per atom
Space group   No. 123

Entry 2
DFT (meta-GGA SCAN) results for a crystal of Y2AlZn relaxed with PBEsol.

Lattice parameters (Å, degrees): 3.7094 4.3858 5.9917 90.00 108.03 90.00
Site moments in Bohr magnetons follow the coordinates.
Positions (direct):
Al (0.5594, 0.5000, 0.1188)  0.00
Y (0.9725, 0.0000, 0.9450)  0.06
Y (0.2782, 0.5000, 0.5564)  0.09
Zn (0.6937, 0.0000, 0.3874)  0.00

N(E_F)   0.82 states/eV per atom
Space group   No. 38

Name the most stable of them. entry 1.

Entry 1
DFT (meta-GGA SCAN) results for a crystal of Y2AlZn relaxed with PBEsol.

Lattice parameters (Å, degrees): 3.5663 4.8510 5.9602 114.01 107.41 90.00
Positions (direct):
Y (0.7677, 0.2677, 0.5354)
Y (0.9918, 0.9918, 0.9836)
Al (0.2112, 0.7112, 0.4224)
Zn (0.5293, 0.5293, 0.0586)

N(E_F)   0.92 states/eV per atom
Space group   No. 44

Entry 2
DFT (meta-GGA SCAN) results for a crystal of Y2AlZn relaxed with PBEsol.

Lattice parameters (Å, degrees): 5.0175 5.0175 5.0175 60.00 60.00 60.00
Positions (direct):
Zn (0.0000, 0.0000, 0.0000)
Y (0.2500, 0.2500, 0.2500)
Y (0.7500, 0.7500, 0.7500)
Al (0.5000, 0.5000, 0.5000)

N(E_F)   0.59 states/eV per atom
Space group   No. 225

Name the most stable of them. entry 2.

Entry 1
DFT (meta-GGA SCAN) results for a crystal of AlZn5 relaxed with PBEsol.

Lattice parameters (Å, degrees): 3.8686 3.8853 6.1272 90.00 108.40 90.00
Positions (direct):
Zn (0.1684, 0.0000, 0.3368)
Zn (0.8316, 0.0000, 0.6632)
Zn (0.6679, 0.5000, 0.3357)
Zn (0.0000, 0.5000, 0.0000)
Zn (0.3322, 0.5000, 0.6643)
Al (0.5000, 0.0000, 0.0000)

N(E_F)   0.28 states/eV per atom
Space group   No. 65

Entry 2
DFT (meta-GGA SCAN) results for a crystal of AlZn5 relaxed with PBEsol.

Lattice parameters (Å, degrees): 2.7442 2.7442 11.5756 90.00 90.00 90.00
Positions (direct):
Zn (0.0000, 0.0000, 0.8267)
Zn (0.5000, 0.5000, 0.6630)
Zn (0.0000, 0.0000, 0.1733)
Zn (0.5000, 0.5000, 0.3370)
Zn (0.0000, 0.0000, 0.5000)
Al (0.5000, 0.5000, 0.0000)

N(E_F)   0.30 states/eV per atom
Space group   No. 123

Name the most stable of them. entry 1.

Entry 1
DFT (meta-GGA SCAN) results for a crystal of As3Au relaxed with PBEsol.

Lattice parameters (Å, degrees): 2.9058 2.9058 9.9464 90.00 90.00 119.90
Positions (direct):
As (0.0000, 0.0000, 0.2587)
As (0.0000, 0.0000, 0.7413)
As (0.5000, 0.5000, 0.0000)
Au (0.5000, 0.5000, 0.5000)

N(E_F)   0.42 states/eV per atom
Space group   No. 65

Entry 2
DFT (meta-GGA SCAN) results for a crystal of As3Au relaxed with PBEsol.

Lattice parameters (Å, degrees): 2.8763 4.3511 5.9225 90.00 90.00 90.00
Positions (direct):
Au (0.0000, 0.0000, 0.0000)
As (0.5000, 0.5000, 0.2229)
As (0.0000, 0.0000, 0.5000)
As (0.5000, 0.5000, 0.7771)

N(E_F)   0.46 states/eV per atom
Space group   No. 47

Name the most stable of them. entry 1.

Entry 1
DFT (meta-GGA SCAN) results for a crystal of CuAs2AuBr relaxed with PBEsol.

Lattice parameters (Å, degrees): 4.9515 4.9515 5.2165 90.00 90.00 90.00
Site moments in Bohr magnetons follow the coordinates.
Positions (direct):
As (0.0000, 0.5000, 0.0000)  0.34
As (0.5000, 0.0000, 0.0000)  0.34
Au (0.0000, 0.0000, 0.0000)  0.07
Cu (0.5000, 0.5000, 0.5000)  0.05
Br (0.0000, 0.0000, 0.5000)  0.14

N(E_F)   0.38 states/eV per atom
Space group   No. 123

Entry 2
DFT (meta-GGA SCAN) results for a crystal of CuAs2AuBr relaxed with PBEsol.

Lattice parameters (Å, degrees): 4.8408 4.9332 4.9332 90.00 90.00 90.00
Site moments in Bohr magnetons follow the coordinates.
Positions (direct):
As (0.0000, 0.5000, 0.0000)  0.21
As (0.0000, 0.0000, 0.5000)  0.21
Cu (0.5000, 0.0000, 0.0000)  0.02
Au (0.0000, 0.0000, 0.0000)  0.03
Br (0.5000, 0.5000, 0.5000)  0.07

N(E_F)   0.81 states/eV per atom
Space group   No. 123

Name the most stable of them. entry 2.